# 1
Material: CdCu2Ru
Method: DFT, GGA-PBE
State: relaxed

Output
Energy of formation, eV/atom: 0.377
DOS at the Fermi energy, states/eV per atom: 1.5505
DFT total energy, eV per atom: -4.22

a b c (Å): 6.181 6.181 6.181
angles (deg): 90.00 90.00 90.00
Space group F-43m (No. 216)
Symmetry-distinct sites (fractional):
1 Cd 0.000 0.000 0.000 x4
2 Cu 0.000 0.000 0.500 x4
3 Cu 0.250 0.250 0.750 x4
4 Ru 0.250 0.250 0.250 x4



# 2
Material: Nb2CrN3
Method: DFT, GGA-PBE
State: relaxed

Output
ΔE_f (raw), eV/atom: -0.656
DOS at the Fermi energy, states/eV per atom: 0.4994
DFT total energy, eV per atom: -9.78

a b c (Å): 2.890 3.664 11.686
angles (deg): 90.00 90.00 90.00
Space group Immm (No. 71)
Symmetry-distinct sites (fractional):
1 Nb 0.000 0.000 0.151 x4
2 Cr 0.000 0.000 0.500 x2
3 N 0.000 0.000 0.330 x4
4 N 0.000 0.500 0.500 x2



# 3
Material: BaLiLa2
Method: DFT, GGA-PBE
State: relaxed

Output
Energy of formation, eV/atom: 0.163
Energy relative to the lowest polymorph listed for this composition, eV/atom: 0.071
DOS at the Fermi energy, states/eV per atom: 1.2131
DFT total energy, eV per atom: -3.26

a b c (Å): 3.982 3.982 9.627
angles (deg): 90.00 90.00 90.00
Space group P4/mmm (No. 123)
Symmetry-distinct sites (fractional):
1 Ba 0.000 0.000 0.000 x1
2 Li 0.000 0.000 0.500 x1
3 La 0.500 0.500 0.328 x2



# 4
Material: Zr2TiIn
Method: DFT, GGA-PBE
State: relaxed

Output
Energy of formation, eV/atom: -0.160
DOS at the Fermi energy, states/eV per atom: 1.0466
DFT total energy, eV per atom: -7.09

a b c (Å): 10.518 6.360 5.248
angles (deg): 90.00 104.64 90.00
Space group C2/m (No. 12)
Symmetry-distinct sites (fractional):
1 Zr 0.124 0.250 0.275 x8
2 Ti 0.107 0.000 0.755 x4
3 In 0.137 0.500 0.786 x4